a | DFT (GGA-PBE) results for a relaxed structure of LaBe.

Cell: 5.5239 5.7831 11.1766 Å, 90.00 90.00 90.00°
Last column: nearest neighbours and their distance in Å.
Element x y z (fractional)
La: 0.0980 0.0590 0.4827  7 Be 3.04-3.29, 2 La 3.15-3.32
La: 0.1419 0.6609 0.6738  6 Be 2.93-3.27, 1 La 3.15
La: 0.3581 0.3391 0.1738  6 Be 2.93-3.27, 1 La 3.15
La: 0.4020 0.9410 0.9827  7 Be 3.04-3.29, 2 La 3.15-3.32
La: 0.5980 0.4410 0.5173  7 Be 3.04-3.29, 2 La 3.15-3.32
La: 0.6419 0.8391 0.3262  6 Be 2.93-3.27, 1 La 3.15
La: 0.8581 0.1609 0.8262  6 Be 2.93-3.27, 1 La 3.15
La: 0.9020 0.5590 0.0173  7 Be 3.04-3.29, 2 La 3.15-3.32
Be: 0.1041 0.5711 0.3783  2 Be 2.23-2.28
Be: 0.1293 0.8260 0.2234  2 Be 2.23-2.28
Be: 0.3707 0.1740 0.7234  2 Be 2.23-2.28
Be: 0.3959 0.4289 0.8783  2 Be 2.23-2.28
Be: 0.6041 0.9289 0.6217  2 Be 2.23-2.28
Be: 0.6293 0.6740 0.7766  2 Be 2.23-2.28
Be: 0.8707 0.3260 0.2766  2 Be 2.23-2.28
Be: 0.8959 0.0711 0.1217  2 Be 2.23-2.28

Calculated values
Space group: P2_12_12_1, No. 19
Crystal system: orthorhombic
Density of states at the Fermi level (states/eV/f.u.): 1.62
Spin magnetization (Bohr magnetons per cell): 0.00

b | DFT (GGA-PBE) results for a relaxed structure of LaBe.

Cell: 7.9641 7.9641 7.9641 Å, 90.00 90.00 90.00°
Last column: nearest neighbours and their distance in Å.
Element x y z (fractional)
La: 0.0000 0.2500 0.5000  4 Be 2.82
La: 0.0000 0.7500 0.5000  4 Be 2.82
La: 0.2500 0.5000 0.0000  4 Be 2.82
La: 0.5000 0.0000 0.2500  4 Be 2.82
La: 0.5000 0.0000 0.7500  4 Be 2.82
La: 0.7500 0.5000 0.0000  4 Be 2.82
Be: 0.0000 0.5000 0.2500  4 La 2.82
Be: 0.0000 0.5000 0.7500  4 La 2.82
Be: 0.2500 0.0000 0.5000  4 La 2.82
Be: 0.5000 0.2500 0.0000  4 La 2.82
Be: 0.5000 0.7500 0.0000  4 La 2.82
Be: 0.7500 0.0000 0.5000  4 La 2.82

Calculated values
Space group: Pm-3n, No. 223
Crystal system: cubic
Density of states at the Fermi level (states/eV/f.u.): 3.68
Spin magnetization (Bohr magnetons per cell): 0.01

c | DFT (GGA-PBE) results for a relaxed structure of LaBe.

Cell: 3.5719 4.0579 6.7277 Å, 90.00 105.30 90.00°
Last column: nearest neighbours and their distance in Å.
Element x y z (fractional)
La: 0.1465 0.2500 0.2939  6 Be 2.97-3.06
La: 0.8535 0.7500 0.7061  6 Be 2.97-3.06
Be: 0.4636 0.2500 0.9272  2 Be 2.24
Be: 0.5364 0.7500 0.0728  2 Be 2.24

Calculated values
Space group: P2_1/m, No. 11
Crystal system: monoclinic
Density of states at the Fermi level (states/eV/f.u.): 1.57
Spin magnetization (Bohr magnetons per cell): 0.00

Which of them is least stable? Easy: b.

a | DFT (GGA-PBE) results for a relaxed structure of SrNd2Al.

Cell: 5.0690 5.0690 4.9479 Å, 90.00 90.00 90.00°
Last column: nearest neighbours and their distance in Å.
Element x y z (fractional)
Sr: 0.0000 0.0000 0.0000  8 Nd 3.54, 4 Al 3.58
Nd: 0.0000 0.5000 0.5000  4 Al 3.54, 4 Sr 3.54, 4 Nd 3.58
Nd: 0.5000 0.0000 0.5000  4 Al 3.54, 4 Sr 3.54, 4 Nd 3.58
Al: 0.5000 0.5000 0.0000  8 Nd 3.54, 4 Sr 3.58

Calculated values
Space group: P4/mmm, No. 123
Crystal system: tetragonal
Density of states at the Fermi level (states/eV/f.u.): 4.13
Spin magnetization (Bohr magnetons per cell): 0.00

b | DFT (GGA-PBE) results for a relaxed structure of SrNd2Al.

Cell: 3.7861 3.7861 9.7230 Å, 90.00 90.00 90.00°
Last column: nearest neighbours and their distance in Å.
Element x y z (fractional)
Sr: 0.0000 0.0000 0.0000  4 Sr 3.79, 8 Nd 4.09
Nd: 0.5000 0.5000 0.3180  4 Al 3.21, 1 Nd 3.54
Nd: 0.5000 0.5000 0.6820  4 Al 3.21, 1 Nd 3.54
Al: 0.0000 0.0000 0.5000  8 Nd 3.21

Calculated values
Space group: P4/mmm, No. 123
Crystal system: tetragonal
Density of states at the Fermi level (states/eV/f.u.): 5.05
Spin magnetization (Bohr magnetons per cell): 0.00

Which of them is least stable? Easy: a.